# Cd11In17Ag PBE relaxed
data_Cd11In17Ag
_space_group_name_H-M_alt 'P 1'
_space_group_IT_number 1
_space_group_name_Hall 'P 1'
_cell_length_a 9.829
_cell_length_b 9.829
_cell_length_c 9.829
_cell_angle_alpha 109.47
_cell_angle_beta 109.47
_cell_angle_gamma 109.42
loop_
_atom_site_label
_atom_site_fract_x
_atom_site_fract_y
_atom_site_fract_z
Cd1 0.000 0.000 0.000
Cd2 0.001 0.621 0.373
Cd3 0.185 0.999 0.554
Cd4 0.433 0.620 0.184
Cd5 0.435 0.812 0.994
Cd6 0.620 0.433 0.184
Cd7 0.621 0.001 0.373
Cd8 0.621 0.810 0.805
Cd9 0.810 0.621 0.805
Cd10 0.812 0.435 0.994
Cd11 0.999 0.185 0.554
In1 0.092 0.501 0.873
In2 0.121 0.809 0.770
In3 0.122 0.395 0.183
In4 0.147 0.816 0.185
In5 0.215 0.215 0.897
In6 0.219 0.519 0.587
In7 0.395 0.122 0.183
In8 0.398 0.808 0.492
In9 0.479 0.479 0.854
In10 0.492 0.492 0.463
In11 0.501 0.092 0.873
In12 0.519 0.219 0.587
In13 0.806 0.806 0.520
In14 0.808 0.398 0.492
In15 0.809 0.121 0.770
In16 0.816 0.147 0.185
In17 0.817 0.817 0.192
Ag1 0.188 0.188 0.367
# - Calculated volume: 25.23 Å³/atom
# - Space-group type: Cm, No. 8
# - Formation enthalpy at 0 K: 16 meV/atom
# - Crystal system: monoclinic